# RbY2Sb2

A relaxed RbY2Sb2 crystal (PBE, Alexandria via LeMat-Bulk).

Structure (extended XYZ):
```
5
Lattice="5.847 0.000 0.000 0.000 5.847 0.000 2.923 2.923 5.839" Properties=species:S:1:pos:R:3 pbc="T T T"
Sb 2.923 5.847 2.919
Y 5.847 5.847 3.762
Sb 5.847 2.923 2.919
Rb 0.000 0.000 0.000
Y 2.923 2.923 2.077
```

Summary:
**Uncorrected energy**: -24.93 eV for the cell shown
**Formation energy from raw total energies**: -557 meV/atom
**Energy relative to the lowest polymorph listed for this composition**: 150 meV per atom